Here is crystalline Ac2SmCoO6 at its relaxed geometry from the Alexandria database. Energies are from GGA+U.

Values from the calculation:
The energy is -7.43 eV per atom.

Cell and atoms, written as extended XYZ:
```
20
Lattice="-0.331 1.405 5.491 -0.266 -5.969 1.511 8.257 -0.227 0.556" Properties=species:S:1:pos:R:3 pbc="T T T"
Ac 1.488 -4.096 4.073
Ac 5.939 -1.387 0.713
Ac 6.014 -4.221 4.377
Ac 2.208 -1.284 0.462
Sm 3.940 -4.333 1.346
Sm -0.244 -1.047 3.188
Co 3.905 -0.713 3.353
Co -0.208 -4.667 1.181
O 1.976 -0.595 3.206
O 5.839 -0.702 3.467
O 1.721 -4.785 1.328
O 6.114 -4.906 1.624
O 3.778 -5.682 3.209
O 3.619 -5.009 5.842
O 3.930 -2.333 2.323
O 3.766 -1.641 5.028
O -0.401 -2.334 4.997
O -0.233 -3.047 2.211
O -0.081 0.302 1.325
O -0.253 1.033 4.183
```